# 1
A geometry-optimized BaZnCuS2 structure, computed with PBE.

Computed properties:
calculated total energy: -3.0141 eV/atom
formation energy from raw total energies: 0.095 eV/atom
V: 27.383 Å³ per atom
ρ: 4.0 g cm⁻³
DOS at the Fermi energy: 2.527 states/eV/f.u.

Cell and atoms, written as CIF:
```
data_BaZnCuS2
_cell_length_a 4.644
_cell_length_b 4.644
_cell_length_c 6.349
_cell_angle_alpha 90.00
_cell_angle_beta 90.00
_cell_angle_gamma 90.00
_symmetry_space_group_name_H-M 'P 1'
_symmetry_Int_Tables_number 1
_symmetry_space_group_name_Hall 'P 1'
loop_
_atom_site_label
_atom_site_type_symbol
_atom_site_fract_x
_atom_site_fract_y
_atom_site_fract_z
_atom_site_occupancy
Ba1 Ba 0.000 0.000 0.000 1
Zn1 Zn 0.000 0.000 0.500 1
Cu1 Cu 0.500 0.500 0.000 1
S1 S 0.000 0.500 0.500 1
S2 S 0.500 0.000 0.500 1
```

# 2
A geometry-optimized BaZrCuS4 structure, computed with PBE.

Computed properties:
calculated total energy: -5.6810 eV/atom
formation energy from raw total energies: -1.241 eV/atom
V: 21.703 Å³ per atom
ρ: 4.6 g cm⁻³
DOS at the Fermi energy: 1.411 states/eV/f.u.

Cell and atoms, written as CIF:
```
data_BaZrCuS4
_cell_length_a 6.520
_cell_length_b 5.710
_cell_length_c 8.590
_cell_angle_alpha 90.00
_cell_angle_beta 108.18
_cell_angle_gamma 90.00
_symmetry_space_group_name_H-M 'P 1'
_symmetry_Int_Tables_number 1
_symmetry_space_group_name_Hall 'P 1'
loop_
_atom_site_label
_atom_site_type_symbol
_atom_site_fract_x
_atom_site_fract_y
_atom_site_fract_z
_atom_site_occupancy
Ba1 Ba 0.246 0.250 0.055 1
Ba2 Ba 0.754 0.750 0.945 1
Zr1 Zr 0.267 0.250 0.557 1
Zr2 Zr 0.733 0.750 0.443 1
Cu1 Cu 0.248 0.750 0.324 1
Cu2 Cu 0.752 0.250 0.676 1
S1 S 0.021 0.515 0.697 1
S2 S 0.021 0.985 0.697 1
S3 S 0.447 0.750 0.152 1
S4 S 0.447 0.750 0.591 1
S5 S 0.553 0.250 0.409 1
S6 S 0.553 0.250 0.848 1
S7 S 0.979 0.015 0.303 1
S8 S 0.979 0.485 0.303 1
```

# 3
A geometry-optimized Ba2ZrCu2S6 structure, computed with PBE.

Computed properties:
calculated total energy: -5.2597 eV/atom
formation energy from raw total energies: -1.137 eV/atom
V: 25.316 Å³ per atom
ρ: 4.1 g cm⁻³
DOS at the Fermi energy: 8.659 states/eV/f.u.

Cell and atoms, written as CIF:
```
data_Ba2ZrCu2S6
_cell_length_a 7.614
_cell_length_b 7.614
_cell_length_c 7.614
_cell_angle_alpha 55.36
_cell_angle_beta 55.36
_cell_angle_gamma 55.36
_symmetry_space_group_name_H-M 'P 1'
_symmetry_Int_Tables_number 1
_symmetry_space_group_name_Hall 'P 1'
loop_
_atom_site_label
_atom_site_type_symbol
_atom_site_fract_x
_atom_site_fract_y
_atom_site_fract_z
_atom_site_occupancy
Ba1 Ba 0.226 0.226 0.226 1
Ba2 Ba 0.774 0.774 0.774 1
Zr1 Zr 0.000 0.000 0.000 1
Cu1 Cu 0.418 0.418 0.418 1
Cu2 Cu 0.582 0.582 0.582 1
S1 S 0.227 0.756 0.756 1
S2 S 0.244 0.244 0.773 1
S3 S 0.244 0.773 0.244 1
S4 S 0.756 0.227 0.756 1
S5 S 0.756 0.756 0.227 1
S6 S 0.773 0.244 0.244 1
```

# 4
A geometry-optimized BaZrCu2S4 structure, computed with PBE.

Computed properties:
calculated total energy: -5.5372 eV/atom
formation energy from raw total energies: -1.141 eV/atom
V: 24.627 Å³ per atom
ρ: 4.1 g cm⁻³
DOS at the Fermi energy: 0.000 states/eV/f.u.

Cell and atoms, written as CIF:
```
data_BaZrCu2S4
_cell_length_a 6.450
_cell_length_b 6.450
_cell_length_c 6.450
_cell_angle_alpha 122.81
_cell_angle_beta 107.87
_cell_angle_gamma 98.70
_symmetry_space_group_name_H-M 'P 1'
_symmetry_Int_Tables_number 1
_symmetry_space_group_name_Hall 'P 1'
loop_
_atom_site_label
_atom_site_type_symbol
_atom_site_fract_x
_atom_site_fract_y
_atom_site_fract_z
_atom_site_occupancy
Ba1 Ba 0.000 0.000 0.000 1
Zr1 Zr 0.500 0.500 0.000 1
Cu1 Cu 0.350 0.850 0.500 1
Cu2 Cu 0.650 0.150 0.500 1
S1 S 0.144 0.099 0.596 1
S2 S 0.497 0.901 0.045 1
S3 S 0.503 0.548 0.404 1
S4 S 0.856 0.452 0.955 1
```

> What is the calculated total energy in the fourth record?

-5.5372 eV/atom

> What is the ρ in the fourth record?

4.1 g cm⁻³

> Among the records above, which one has the lowest calculated total energy?

BaZrCuS4